# PBE-GGA SrLiSb, optimized geometry
data_SrLiSb
_symmetry_space_group_name_H-M 'P -6 m 2'
_symmetry_Int_Tables_number 187
_symmetry_space_group_name_Hall 'P -6 2'
_cell_length_a 4.7041
_cell_length_b 4.7041
_cell_length_c 4.5621
_cell_angle_alpha 90.00
_cell_angle_beta 90.00
_cell_angle_gamma 120.00
loop_
_atom_site_label
_atom_site_type_symbol
_atom_site_fract_x
_atom_site_fract_y
_atom_site_fract_z
Sr1 Sr 0.0000 0.0000 0.0000
Li1 Li 0.6667 0.3333 0.5000
Sb1 Sb 0.3333 0.6667 0.5000
# Total moment (μB per cell): 0.00
# Raw formation energy (eV per formula unit): -2.58
# Calculated total energy (eV/atom): -3.431

# PBE-GGA Tb2PO, optimized geometry
data_Tb2PO
_symmetry_space_group_name_H-M 'R 3 m'
_symmetry_Int_Tables_number 160
_symmetry_space_group_name_Hall 'R 3 -2"'
_cell_length_a 3.6602
_cell_length_b 3.6602
_cell_length_c 19.6363
_cell_angle_alpha 90.00
_cell_angle_beta 90.00
_cell_angle_gamma 120.00
loop_
_atom_site_label
_atom_site_type_symbol
_atom_site_fract_x
_atom_site_fract_y
_atom_site_fract_z
Tb1 Tb 0.0000 0.0000 0.0000
Tb2 Tb 0.0000 0.0000 0.1612
P1 P 0.0000 0.0000 0.5805
O1 O 0.0000 0.0000 0.4081
# Total moment (μB per cell): 0.00
# Raw formation energy (eV per formula unit): -7.70
# Calculated total energy (eV/atom): -6.832
# Energy above the lowest structure with this stoichiometry (meV/atom): 210

# PBE-GGA LiNiCl, optimized geometry
data_LiNiCl
_symmetry_space_group_name_H-M 'P 3 m 1'
_symmetry_Int_Tables_number 156
_cell_length_a 3.1728
_cell_length_b 3.1728
_cell_length_c 5.3664
_cell_angle_alpha 90.00
_cell_angle_beta 90.00
_cell_angle_gamma 120.00
loop_
_symmetry_equiv_pos_as_xyz
'x,y,z'
'-y,x-y,z'
'-x+y,-x,z'
'-y,-x,z'
'-x+y,y,z'
'x,x-y,z'
loop_
_atom_site_label
_atom_site_type_symbol
_atom_site_fract_x
_atom_site_fract_y
_atom_site_fract_z
Li1 Li 0.0000 0.0000 0.0000
Ni1 Ni 0.3333 0.6667 0.3910
Cl1 Cl 0.6667 0.3333 0.6954
# Total moment (μB per cell): 0.60
# Raw formation energy (eV per formula unit): -0.58
# Calculated total energy (eV/atom): -3.374
# Energy above the lowest structure with this stoichiometry (meV/atom): 531

# PBE-GGA BSeIN2, optimized geometry
data_BSeIN2
_symmetry_space_group_name_H-M 'P 4/m m m'
_symmetry_Int_Tables_number 123
_symmetry_space_group_name_Hall '-P 4 2'
_cell_length_a 3.595
_cell_length_b 3.595
_cell_length_c 7.182
_cell_angle_alpha 90.00
_cell_angle_beta 90.00
_cell_angle_gamma 90.00
loop_
_atom_site_label
_atom_site_type_symbol
_atom_site_fract_x
_atom_site_fract_y
_atom_site_fract_z
B1 B 0.000 0.000 0.000
Se1 Se 0.500 0.500 0.500
I1 I 0.000 0.000 0.500
N1 N 0.000 0.500 0.000
# Total moment (μB per cell): 0.72
# Raw formation energy (eV per formula unit): 9.41
# Calculated total energy (eV/atom): -3.791
# Energy above the lowest structure with this stoichiometry (meV/atom): 0

# PBE-GGA FeReAu2, optimized geometry
data_FeReAu2
_symmetry_space_group_name_H-M 'I 4/m m m'
_symmetry_Int_Tables_number 139
_symmetry_space_group_name_Hall '-I 4 2'
_cell_length_a 3.971
_cell_length_b 3.971
_cell_length_c 7.983
_cell_angle_alpha 90.00
_cell_angle_beta 90.00
_cell_angle_gamma 90.00
loop_
_atom_site_label
_atom_site_type_symbol
_atom_site_fract_x
_atom_site_fract_y
_atom_site_fract_z
Fe1 Fe 0.000 0.000 0.000
Re1 Re 0.000 0.000 0.500
Au1 Au 0.000 0.500 0.250
# Total moment (μB per cell): 4.44
# Calculated total energy (eV/atom): -6.304
# Energy above the lowest structure with this stoichiometry (meV/atom): 337
# E_form (kJ/mol of atoms): 54.3

# PBE-GGA TaHgRh4, optimized geometry
data_TaHgRh4
_symmetry_space_group_name_H-M 'F -4 3 m'
_symmetry_Int_Tables_number 216
_symmetry_space_group_name_Hall 'F -4 2 3'
_cell_length_a 7.283
_cell_length_b 7.283
_cell_length_c 7.283
_cell_angle_alpha 90.00
_cell_angle_beta 90.00
_cell_angle_gamma 90.00
loop_
_atom_site_label
_atom_site_type_symbol
_atom_site_fract_x
_atom_site_fract_y
_atom_site_fract_z
Ta1 Ta 0.000 0.000 0.000
Hg1 Hg 0.250 0.250 0.250
Rh1 Rh 0.125 0.125 0.625
# Total moment (μB per cell): 0.00
# Calculated total energy (eV/atom): -6.960
# E_form (kJ/mol of atoms): -3.2

# PBE-GGA DyScBiTe, optimized geometry
data_DyScBiTe
_symmetry_space_group_name_H-M 'R 3 m'
_symmetry_Int_Tables_number 160
_symmetry_space_group_name_Hall 'R 3 -2"'
_cell_length_a 4.3248
_cell_length_b 4.3248
_cell_length_c 21.1143
_cell_angle_alpha 90.00
_cell_angle_beta 90.00
_cell_angle_gamma 120.00
loop_
_atom_site_label
_atom_site_type_symbol
_atom_site_fract_x
_atom_site_fract_y
_atom_site_fract_z
Dy1 Dy 0.0000 0.0000 0.0000
Sc1 Sc 0.0000 0.0000 0.5004
Bi1 Bi 0.0000 0.0000 0.2453
Te1 Te 0.0000 0.0000 0.7548
# Total moment (μB per cell): 0.00
# Raw formation energy (eV per formula unit): -3.95
# Calculated total energy (eV/atom): -5.476

# PBE-GGA Li2ErHg2, optimized geometry
data_Li2ErHg2
_symmetry_space_group_name_H-M 'C 1 2/m 1'
_symmetry_Int_Tables_number 12
_cell_length_a 8.409
_cell_length_b 4.858
_cell_length_c 5.524
_cell_angle_alpha 90.00
_cell_angle_beta 120.25
_cell_angle_gamma 90.00
loop_
_symmetry_equiv_pos_as_xyz
'x,y,z'
'-x,-y,-z'
'-x,y,-z'
'x,-y,z'
'x+1/2,y+1/2,z'
'-x+1/2,-y+1/2,-z'
'-x+1/2,y+1/2,-z'
'x+1/2,-y+1/2,z'
loop_
_atom_site_label
_atom_site_type_symbol
_atom_site_fract_x
_atom_site_fract_y
_atom_site_fract_z
Li1 Li 0.084 0.000 0.250
Er1 Er 0.000 0.500 0.500
Hg1 Hg 0.222 0.500 0.165
# Total moment (μB per cell): 0.00
# Calculated total energy (eV/atom): -2.133
# Energy above the lowest structure with this stoichiometry (meV/atom): 26
# E_form (kJ/mol of atoms): -32.3

# PBE-GGA ScTl2CrP, optimized geometry
data_ScTl2CrP
_symmetry_space_group_name_H-M 'P 4/m m m'
_symmetry_Int_Tables_number 123
_symmetry_space_group_name_Hall '-P 4 2'
_cell_length_a 5.368
_cell_length_b 5.368
_cell_length_c 4.409
_cell_angle_alpha 90.00
_cell_angle_beta 90.00
_cell_angle_gamma 90.00
loop_
_atom_site_label
_atom_site_type_symbol
_atom_site_fract_x
_atom_site_fract_y
_atom_site_fract_z
Sc1 Sc 0.000 0.000 0.000
Tl1 Tl 0.000 0.500 0.500
Cr1 Cr 0.500 0.500 0.000
P1 P 0.500 0.500 0.500
# Total moment (μB per cell): 2.99
# Calculated total energy (eV/atom): -4.733
# E_form (kJ/mol of atoms): 46.9

# PBE-GGA LiPaS4, optimized geometry
data_LiPaS4
_symmetry_space_group_name_H-M 'P 1 21/c 1'
_symmetry_Int_Tables_number 14
_cell_length_a 6.364
_cell_length_b 6.116
_cell_length_c 7.045
_cell_angle_alpha 90.00
_cell_angle_beta 93.71
_cell_angle_gamma 90.00
loop_
_symmetry_equiv_pos_as_xyz
'x,y,z'
'-x,-y,-z'
'-x,y+1/2,-z+1/2'
'x,-y+1/2,z+1/2'
loop_
_atom_site_label
_atom_site_type_symbol
_atom_site_fract_x
_atom_site_fract_y
_atom_site_fract_z
Li1 Li 0.000 0.000 0.000
Pa1 Pa 0.500 0.000 0.500
S1 S 0.096 0.112 0.577
S2 S 0.371 0.629 0.663
# Total moment (μB per cell): 0.00
# Raw formation energy (eV per formula unit): -6.60
# Calculated total energy (eV/atom): -5.754

# PBE-GGA ScZnSeO5, optimized geometry
data_ScZnSeO5
_symmetry_space_group_name_H-M 'C 1 2/c 1'
_symmetry_Int_Tables_number 15
_cell_length_a 7.956
_cell_length_b 8.134
_cell_length_c 7.866
_cell_angle_alpha 90.00
_cell_angle_beta 119.59
_cell_angle_gamma 90.00
loop_
_symmetry_equiv_pos_as_xyz
'x,y,z'
'-x,-y,-z'
'-x,y,-z+1/2'
'x,-y,z+1/2'
'x+1/2,y+1/2,z'
'-x+1/2,-y+1/2,-z'
'-x+1/2,y+1/2,-z+1/2'
'x+1/2,-y+1/2,z+1/2'
loop_
_atom_site_label
_atom_site_type_symbol
_atom_site_fract_x
_atom_site_fract_y
_atom_site_fract_z
Sc1 Sc 0.000 0.000 0.000
Zn1 Zn 0.000 0.298 0.250
Se1 Se 0.000 0.348 0.750
O1 O 0.000 0.063 0.250
O2 O 0.005 0.263 0.532
O3 O 0.180 0.498 0.843
# Total moment (μB per cell): 2.79
# Raw formation energy (eV per formula unit): -12.69
# Calculated total energy (eV/atom): -6.071

# PBE-GGA LiGe2Ir, optimized geometry
data_LiGe2Ir
_symmetry_space_group_name_H-M 'P 4/m m m'
_symmetry_Int_Tables_number 123
_symmetry_space_group_name_Hall '-P 4 2'
_cell_length_a 2.979
_cell_length_b 2.979
_cell_length_c 7.406
_cell_angle_alpha 90.00
_cell_angle_beta 90.00
_cell_angle_gamma 90.00
loop_
_atom_site_label
_atom_site_type_symbol
_atom_site_fract_x
_atom_site_fract_y
_atom_site_fract_z
Li1 Li 0.000 0.000 0.000
Ge1 Ge 0.500 0.500 0.277
Ir1 Ir 0.000 0.000 0.500
# Total moment (μB per cell): 0.00
# Calculated total energy (eV/atom): -5.188
# Energy above the lowest structure with this stoichiometry (meV/atom): 158
# E_form (kJ/mol of atoms): -17.9